Material: ZrTi3Sn2
Method: DFT, PBE-GGA
State: relaxed

a = 3.0970 Å, b = 9.1131 Å, c = 16.9342 Å
α = 90.00°, β = 90.00°, γ = 90.00°
Last column: nearest neighbours and their distance in Å.
Element x y z (fractional)
Sn (0.2500, 0.7508, 0.4913)  7 Ti 2.78-3.03, 2 Zr 3.04, 2 Sn 3.10
Sn (0.2500, 0.4756, 0.2279)  7 Ti 3.01-3.25, 2 Sn 3.10, 4 Zr 3.12-3.28
Sn (0.7500, 0.0244, 0.7279)  7 Ti 3.01-3.25, 2 Sn 3.10, 4 Zr 3.12-3.28
Sn (0.7500, 0.5244, 0.7721)  7 Ti 3.01-3.25, 2 Sn 3.10, 4 Zr 3.12-3.28
Sn (0.7500, 0.2492, 0.5087)  7 Ti 2.78-3.03, 2 Zr 3.04, 2 Sn 3.10
Sn (0.2500, 0.9756, 0.2721)  7 Ti 3.01-3.25, 2 Sn 3.10, 4 Zr 3.12-3.28
Sn (0.2500, 0.2508, 0.0087)  7 Ti 2.78-3.03, 2 Zr 3.04, 2 Sn 3.10
Sn (0.7500, 0.7492, 0.9913)  7 Ti 2.78-3.03, 2 Zr 3.04, 2 Sn 3.10
Ti (0.7500, 0.7593, 0.1703)  5 Ti 2.82-3.10, 1 Zr 2.96, 3 Sn 3.03-3.04
Ti (0.7500, 0.5434, 0.5804)  4 Ti 2.82-3.10, 3 Sn 2.87-2.94, 2 Zr 2.92
Ti (0.2500, 0.0123, 0.5756)  5 Sn 2.78-3.01, 5 Ti 2.95-3.10, 1 Zr 3.09
Ti (0.2500, 0.9566, 0.0804)  4 Ti 2.82-3.10, 3 Sn 2.87-2.94, 2 Zr 2.92
Ti (0.7500, 0.2593, 0.3297)  5 Ti 2.82-3.10, 1 Zr 2.96, 3 Sn 3.03-3.04
Ti (0.2500, 0.4566, 0.4196)  4 Ti 2.82-3.10, 3 Sn 2.87-2.94, 2 Zr 2.92
Ti (0.7500, 0.4877, 0.0756)  5 Sn 2.78-3.01, 5 Ti 2.95-3.10, 1 Zr 3.09
Ti (0.2500, 0.7407, 0.6703)  5 Ti 2.82-3.10, 1 Zr 2.96, 3 Sn 3.03-3.04
Ti (0.2500, 0.5123, 0.9244)  5 Sn 2.78-3.01, 5 Ti 2.95-3.10, 1 Zr 3.09
Ti (0.7500, 0.0434, 0.9196)  4 Ti 2.82-3.10, 3 Sn 2.87-2.94, 2 Zr 2.92
Ti (0.2500, 0.2407, 0.8297)  5 Ti 2.82-3.10, 1 Zr 2.96, 3 Sn 3.03-3.04
Ti (0.7500, 0.9877, 0.4244)  5 Sn 2.78-3.01, 5 Ti 2.95-3.10, 1 Zr 3.09
Zr (0.2500, 0.3142, 0.6592)  4 Ti 2.92-3.09, 4 Sn 3.04-3.12, 2 Zr 3.10
Zr (0.7500, 0.1858, 0.1592)  4 Ti 2.92-3.09, 4 Sn 3.04-3.12, 2 Zr 3.10
Zr (0.2500, 0.8142, 0.8408)  4 Ti 2.92-3.09, 4 Sn 3.04-3.12, 2 Zr 3.10
Zr (0.7500, 0.6858, 0.3408)  4 Ti 2.92-3.09, 4 Sn 3.04-3.12, 2 Zr 3.10

Computed properties:
Magnetization ... 0.793 Bohr magnetons per cell
Distance to the lowest polymorph of the same formula ... 8.2 kJ/mol of atoms
Space group ... Pnma (62)